No. 1
Crystalline LiC at its relaxed geometry, computed with PBE.

a b c (Å): 3.4134 3.4134 3.4134
angles (deg): 60.00 60.00 60.00
Last column: nearest neighbours and their distance in Å.
Atoms (fractional coordinates):
Li 0.0000 0.0000 0.0000  4 C 2.09
C 0.7500 0.7500 0.7500  4 Li 2.09

Properties
Space-group type: F-43m (216)
Formation enthalpy at 0 K in meV/atom: 2468.9

No. 2
Crystalline CdS2N2 at its relaxed geometry, computed with PBE.

a b c (Å): 4.1265 4.1265 4.0604
angles (deg): 90.00 90.00 90.00
Last column: nearest neighbours and their distance in Å.
Atoms (fractional coordinates):
Cd 0.0000 0.0000 0.0000  8 S 2.89, 4 N 2.92
S 0.0000 0.5000 0.5000  2 N 2.06
S 0.5000 0.0000 0.5000  2 N 2.06
N 0.5000 0.5000 0.0000  2 N 2.03
N 0.5000 0.5000 0.5000  2 N 2.03, 4 S 2.06

Properties
Space-group type: P4/mmm (123)
Raw total energy in eV/atom: -3.56

No. 3
Crystalline Pm3Nd4Th2 at its relaxed geometry, computed with PBE.

a b c (Å): 3.6166 3.6166 27.4599
angles (deg): 90.00 90.00 120.00
Last column: nearest neighbours and their distance in Å.
Atoms (fractional coordinates):
Pm 0.0000 0.0000 0.0000  6 Pm 3.62, 6 Th 3.63-3.64
Pm 0.0000 0.0000 0.3393  6 Nd 3.61-3.71, 6 Pm 3.62
Pm 0.6667 0.3333 0.6715  6 Pm 3.62, 6 Nd 3.67-3.71
Nd 0.0000 0.0000 0.5617  9 Nd 3.62-3.69, 3 Pm 3.67
Nd 0.0000 0.0000 0.7831  6 Nd 3.62, 3 Th 3.63, 3 Pm 3.71
Nd 0.6667 0.3333 0.2321  1 Th 3.40, 3 Pm 3.61, 6 Nd 3.62
Nd 0.6667 0.3333 0.4510  9 Nd 3.62-3.69, 3 Pm 3.71
Th 0.6667 0.3333 0.1083  1 Nd 3.40, 6 Th 3.62, 3 Pm 3.63
Th 0.6667 0.3333 0.8912  6 Th 3.62, 3 Nd 3.63, 3 Pm 3.64

Properties
Space-group type: P3m1 (156)
Formation enthalpy at 0 K in meV/atom: 90.3

No. 4
Crystalline Li2MnRh at its relaxed geometry, computed with PBE.

a b c (Å): 9.1894 9.1894 9.1894
angles (deg): 16.79 16.79 16.79
Last column: nearest neighbours and their distance in Å.
Atoms (fractional coordinates):
Li 0.2451 0.2451 0.2451  3 Rh 2.63, 6 Li 2.68, 3 Mn 2.85
Li 0.7549 0.7549 0.7549  3 Rh 2.63, 6 Li 2.68, 3 Mn 2.85
Mn 0.0000 0.0000 0.0000  6 Mn 2.68, 6 Li 2.85
Rh 0.5000 0.5000 0.5000  6 Li 2.63, 6 Rh 2.68

Properties
Space-group type: R-3m (166)
Formation enthalpy at 0 K in meV/atom: 104.5

No. 5
Crystalline Pm3NdDySc at its relaxed geometry, computed with PBE.

a b c (Å): 7.9576 5.0835 10.1259
angles (deg): 90.00 108.69 90.00
Last column: nearest neighbours and their distance in Å.
Atoms (fractional coordinates):
Pm 0.1710 0.2500 0.0450  1 Sc 3.54, 3 Dy 3.55-3.59, 3 Nd 3.59-3.67, 5 Pm 3.62-3.63
Pm 0.1724 0.7500 0.7900  1 Sc 3.55, 3 Dy 3.55-3.57, 6 Pm 3.58-3.63, 2 Nd 3.65
Pm 0.1772 0.2500 0.5418  3 Sc 3.47-3.52, 1 Dy 3.51, 3 Nd 3.55-3.67, 5 Pm 3.58-3.69
Pm 0.8228 0.7500 0.4582  3 Sc 3.47-3.52, 1 Dy 3.51, 3 Nd 3.55-3.67, 5 Pm 3.58-3.69
Pm 0.8276 0.2500 0.2100  1 Sc 3.55, 3 Dy 3.55-3.57, 6 Pm 3.58-3.63, 2 Nd 3.65
Pm 0.8290 0.7500 0.9550  1 Sc 3.54, 3 Dy 3.55-3.59, 3 Nd 3.59-3.67, 5 Pm 3.62-3.63
Nd 0.1754 0.7500 0.2967  3 Sc 3.48-3.52, 1 Dy 3.52, 8 Pm 3.55-3.67
Nd 0.8246 0.2500 0.7033  3 Sc 3.48-3.52, 1 Dy 3.52, 8 Pm 3.55-3.67
Dy 0.4994 0.7500 0.1276  7 Pm 3.51-3.59, 1 Nd 3.52, 2 Sc 3.59, 2 Dy 3.63
Dy 0.5006 0.2500 0.8724  7 Pm 3.51-3.59, 1 Nd 3.52, 2 Sc 3.59, 2 Dy 3.63
Sc 0.4993 0.2500 0.3780  5 Pm 3.47-3.55, 3 Nd 3.48-3.52, 2 Sc 3.54, 2 Dy 3.59
Sc 0.5007 0.7500 0.6220  5 Pm 3.47-3.55, 3 Nd 3.48-3.52, 2 Sc 3.54, 2 Dy 3.59

Properties
Space-group type: P2_1/m (11)
Formation enthalpy at 0 K in meV/atom: 42.3

No. 6
Crystalline Na2SrPt9 at its relaxed geometry, computed with PBE.

a b c (Å): 9.3184 9.3184 9.3184
angles (deg): 33.90 33.90 33.90
Last column: nearest neighbours and their distance in Å.
Atoms (fractional coordinates):
Na 0.1441 0.1441 0.1441  12 Pt 3.14-3.19, 3 Na 3.35
Na 0.8559 0.8559 0.8559  12 Pt 3.14-3.19, 3 Na 3.35
Sr 0.0000 0.0000 0.0000  18 Pt 3.14-3.51
Pt 0.0821 0.5853 0.5853  7 Pt 2.68-2.74
Pt 0.3323 0.3323 0.3323  6 Pt 2.69-2.74
Pt 0.4147 0.4147 0.9179  7 Pt 2.68-2.74
Pt 0.4147 0.9179 0.4147  7 Pt 2.68-2.74
Pt 0.5000 0.5000 0.5000  6 Pt 2.68
Pt 0.5853 0.0821 0.5853  7 Pt 2.68-2.74
Pt 0.5853 0.5853 0.0821  7 Pt 2.68-2.74
Pt 0.6677 0.6677 0.6677  6 Pt 2.69-2.74
Pt 0.9179 0.4147 0.4147  7 Pt 2.68-2.74

Properties
Space-group type: R-3m (166)
Formation enthalpy at 0 K in meV/atom: -424.1

No. 7
Crystalline Pr4CdCo2 at its relaxed geometry, computed with PBE.

a b c (Å): 6.9546 7.0418 8.8339
angles (deg): 107.57 107.19 104.21
Last column: nearest neighbours and their distance in Å.
Atoms (fractional coordinates):
Pr 0.0000 0.0000 0.0000  2 Co 2.68-2.91
Pr 0.0199 0.7191 0.5819  2 Co 2.67-2.81
Pr 0.0914 0.2905 0.7251  2 Co 2.67-2.81
Pr 0.2527 0.5989 0.1903  2 Co 2.71-2.99
Pr 0.4988 0.5516 0.5825  3 Co 2.86-3.03
Pr 0.5702 0.1230 0.7251  3 Co 2.86-3.03
Pr 0.6536 0.1536 0.3073  2 Co 2.68-2.91
Pr 0.7160 0.5626 0.1169  2 Co 2.71-2.98
Cd 0.1428 0.0409 0.3842  1 Co 2.74
Cd 0.4114 0.8101 0.9231  1 Co 2.73
Co 0.0433 0.3753 0.3333  4 Pr 2.68-2.95, 1 Cd 2.74
Co 0.3636 0.1957 0.9739  4 Pr 2.68-2.95, 1 Cd 2.73
Co 0.6992 0.8509 0.4648  4 Pr 2.67-2.99
Co 0.8881 0.5398 0.8426  4 Pr 2.67-2.98

Properties
Space-group type: P1 (1)
Formation enthalpy at 0 K in meV/atom: -41.5

No. 8
Crystalline SrTaPb2 at its relaxed geometry, computed with PBE.

a b c (Å): 3.8946 3.8946 8.0306
angles (deg): 90.00 90.00 90.00
Last column: nearest neighbours and their distance in Å.
Atoms (fractional coordinates):
Sr 0.0000 0.0000 0.0000  5 Pb 3.37-3.65
Ta 0.5000 0.5000 0.3293  5 Pb 2.85-2.99
Pb 0.0000 0.0000 0.4196  4 Ta 2.85
Pb 0.5000 0.5000 0.7013  1 Ta 2.99

Properties
Space-group type: P4mm (99)
Formation enthalpy at 0 K in meV/atom: 424.6

No. 9
Crystalline Nd6As2P3Se at its relaxed geometry, computed with PBE.

a b c (Å): 9.4226 9.4226 8.4448
angles (deg): 103.05 103.05 25.81
Last column: nearest neighbours and their distance in Å.
Atoms (fractional coordinates):
Nd 0.0016 0.0016 0.2397  3 P 2.92-2.94, 1 As 3.00, 2 Se 3.05
Nd 0.3299 0.3299 0.4195  3 P 2.93-2.95, 2 As 3.00, 1 Se 3.04
Nd 0.3344 0.3344 0.9135  3 P 2.96, 3 As 3.01
Nd 0.6656 0.6656 0.0865  3 P 2.96, 3 As 3.01
Nd 0.6701 0.6701 0.5805  3 P 2.93-2.95, 2 As 3.00, 1 Se 3.04
Nd 0.9984 0.9984 0.7603  3 P 2.92-2.94, 1 As 3.00, 2 Se 3.05
As 0.1659 0.1659 0.8316  6 Nd 3.00-3.01
As 0.8341 0.8341 0.1684  6 Nd 3.00-3.01
P 0.1658 0.1658 0.3336  6 Nd 2.93-2.96
P 0.5000 0.5000 0.0000  6 Nd 2.92-2.96
P 0.8342 0.8342 0.6664  6 Nd 2.93-2.96
Se 0.5000 0.5000 0.5000  6 Nd 3.04-3.05

Properties
Space-group type: C2/m (12)
Raw total energy in eV/atom: -6.43

No. 10
Crystalline ThCd5 at its relaxed geometry, computed with PBE.

a b c (Å): 6.9174 6.9174 4.8333
angles (deg): 90.00 90.00 140.11
Last column: nearest neighbours and their distance in Å.
Atoms (fractional coordinates):
Th 0.0000 0.0000 0.0000  12 Cd 3.27-3.38
Cd 0.1692 0.8308 0.5000  10 Cd 3.12-3.38, 2 Th 3.27
Cd 0.3209 0.6791 0.0000  4 Cd 3.00-3.12, 2 Th 3.32
Cd 0.5000 0.5000 0.5000  8 Cd 3.23-3.36, 4 Th 3.38
Cd 0.6791 0.3209 0.0000  4 Cd 3.00-3.12, 2 Th 3.32
Cd 0.8308 0.1692 0.5000  10 Cd 3.12-3.38, 2 Th 3.27

Properties
Space-group type: Cmmm (65)
Formation enthalpy at 0 K in meV/atom: -73.0

No. 11
Crystalline AlTlSb2P at its relaxed geometry, computed with PBE.

a b c (Å): 5.4259 5.4259 4.7336
angles (deg): 90.00 90.00 90.00
Last column: nearest neighbours and their distance in Å.
Atoms (fractional coordinates):
Al 0.0000 0.0000 0.0000  2 P 2.37
Tl 0.5000 0.5000 0.0000  8 Sb 3.60, 4 Al 3.84
Sb 0.0000 0.5000 0.5000  2 P 2.71
Sb 0.5000 0.0000 0.5000  2 P 2.71
P 0.0000 0.0000 0.5000  2 Al 2.37

Properties
Space-group type: P4/mmm (123)
Raw total energy in eV/atom: -3.59

No. 12
Crystalline TcAgAu at its relaxed geometry, computed with PBE.

a b c (Å): 2.8202 2.8202 7.2207
angles (deg): 90.00 90.00 120.00
Last column: nearest neighbours and their distance in Å.
Atoms (fractional coordinates):
Tc 0.0000 0.0000 0.0000  6 Tc 2.82, 3 Au 2.85, 3 Ag 2.89
Ag 0.6667 0.3333 0.3310  6 Ag 2.82, 3 Tc 2.89, 3 Au 2.98
Au 0.3333 0.6667 0.6767  6 Au 2.82, 3 Tc 2.85, 3 Ag 2.98

Properties
Space-group type: P3m1 (156)
Formation enthalpy at 0 K in meV/atom: 349.2